Computed, not measured: an optimized crystal structure of La2TcCl at the PBE level of DFT.

Properties
SG: No. 160
E_form (uncorrected) (kcal/mol of atoms): 0.059

Cell: 10.237 10.237 10.237 Å, 19.94 19.94 19.94°
Element x y z (fractional)
La1 0.000 0.000 0.000
La2 0.230 0.230 0.230
Tc1 0.729 0.729 0.729
Cl1 0.495 0.495 0.495